An optimized crystal structure of CrBW2. Source: Alexandria via LeMat-Bulk, functional PBE.

The crystal system is monoclinic. The value obtained for the formation energy from the elements is -0.026 eV/atom. As for the symmetry: P2_1/m.

Unit cell a=3.0296 b=5.0969 c=6.6762 alpha=102.98 beta=90.00 gamma=90.00
Last column: nearest neighbours and their distance in Å.
Fractional coordinates of all 8 atoms:
Cr  0.7500  0.0735  0.8536  2 B 2.13
Cr  0.2500  0.9265  0.1464  2 B 2.13
B  0.7500  0.7339  0.2873  2 Cr 2.13, 4 W 2.27-2.33
B  0.2500  0.2661  0.7127  2 Cr 2.13, 4 W 2.27-2.33
W  0.7500  0.2251  0.4550  3 B 2.27-2.50
W  0.2500  0.7749  0.5450  3 B 2.27-2.50
W  0.7500  0.6014  0.8604  2 B 2.33, 1 Cr 2.42
W  0.2500  0.3986  0.1396  2 B 2.33, 1 Cr 2.42

=====

An optimized crystal structure of Cr4B2W. Source: Alexandria via LeMat-Bulk, functional PBE.

The crystal system is orthorhombic. The value obtained for the formation energy from the elements is -0.104 eV/atom. As for the symmetry: Cmmm.

Unit cell a=2.9634 b=3.6576 c=6.9992 alpha=105.15 beta=90.00 gamma=90.00
Last column: nearest neighbours and their distance in Å.
Fractional coordinates of all 7 atoms:
Cr  0.5000  0.8299  0.6598  2 B 2.33, 6 Cr 2.35-2.56
Cr  0.0000  0.6750  0.3501  2 B 2.12, 4 Cr 2.35
Cr  0.5000  0.1701  0.3402  2 B 2.33, 6 Cr 2.35-2.56
Cr  0.0000  0.3250  0.6499  2 B 2.12, 4 Cr 2.35
B  0.5000  0.5631  0.1261  1 B 1.70
B  0.5000  0.4369  0.8739  1 B 1.70
W  0.0000  0.0000  0.0000  8 B 2.50, 4 Cr 2.73

=====

An optimized crystal structure of CrBW. Source: Alexandria via LeMat-Bulk, functional PBE.

The crystal system is orthorhombic. The value obtained for the formation energy from the elements is -0.322 eV/atom. As for the symmetry: Immm.

Unit cell a=3.0727 b=4.6776 c=5.3728 alpha=115.81 beta=106.62 gamma=90.00
Last column: nearest neighbours and their distance in Å.
Fractional coordinates of all 6 atoms:
Cr  0.0000  0.2600  0.0000  4 B 2.17, 1 Cr 2.25
Cr  0.0000  0.7400  0.0000  4 B 2.17, 1 Cr 2.25
B  0.6020  0.1020  0.2040  1 B 1.87
B  0.3980  0.8980  0.7960  1 B 1.87
W  0.2856  0.2856  0.5711  2 B 2.28
W  0.7144  0.7144  0.4289  2 B 2.28

=====

An optimized crystal structure of CrBW3. Source: Alexandria via LeMat-Bulk, functional PBE.

The crystal system is cubic. As for the energy above the most stable polymorph in this dataset: 0 meV per atom. The value obtained for the formation energy from the elements is 0.474 eV/atom. As for the symmetry: Pm-3m.

Unit cell a=4.1629 b=4.1629 c=4.1629 alpha=90.00 beta=90.00 gamma=90.00
Last column: nearest neighbours and their distance in Å.
Fractional coordinates of all 5 atoms:
Cr  0.5000  0.5000  0.5000  12 W 2.94
B  0.0000  0.0000  0.0000  6 W 2.08
W  0.0000  0.5000  0.0000  2 B 2.08
W  0.0000  0.0000  0.5000  2 B 2.08
W  0.5000  0.0000  0.0000  2 B 2.08

=====

An optimized crystal structure of CrB3W. Source: Alexandria via LeMat-Bulk, functional PBE.

The crystal system is cubic. As for the energy above the most stable polymorph in this dataset: 1427 meV per atom. The value obtained for the formation energy from the elements is 1.121 eV/atom. As for the symmetry: Pm-3m.

Unit cell a=3.7232 b=3.7232 c=3.7232 alpha=90.00 beta=90.00 gamma=90.00
Last column: nearest neighbours and their distance in Å.
Fractional coordinates of all 5 atoms:
Cr  0.0000  0.0000  0.0000  6 B 1.86
B  0.0000  0.5000  0.0000  2 Cr 1.86
B  0.0000  0.0000  0.5000  2 Cr 1.86
B  0.5000  0.0000  0.0000  2 Cr 1.86
W  0.5000  0.5000  0.5000  12 B 2.63

=====

An optimized crystal structure of CrBW3. Source: Alexandria via LeMat-Bulk, functional PBE.

The crystal system is cubic. As for the energy above the most stable polymorph in this dataset: 1827 meV per atom. The value obtained for the formation energy from the elements is 2.301 eV/atom. As for the symmetry: Pm-3m.

Unit cell a=4.4435 b=4.4435 c=4.4435 alpha=90.00 beta=90.00 gamma=90.00
Last column: nearest neighbours and their distance in Å.
Fractional coordinates of all 5 atoms:
Cr  0.0000  0.0000  0.0000  6 W 2.22
B  0.5000  0.5000  0.5000  12 W 3.14
W  0.0000  0.5000  0.0000  2 Cr 2.22
W  0.0000  0.0000  0.5000  2 Cr 2.22
W  0.5000  0.0000  0.0000  2 Cr 2.22

=====

Question: What is the formula in the fifth record?
Answer: CrB3W

=====

Repeat the sixth record exactly.
An optimized crystal structure of CrBW3. Source: Alexandria via LeMat-Bulk, functional PBE.

The crystal system is cubic. As for the energy above the most stable polymorph in this dataset: 1827 meV per atom. The value obtained for the formation energy from the elements is 2.301 eV/atom. As for the symmetry: Pm-3m.

Unit cell a=4.4435 b=4.4435 c=4.4435 alpha=90.00 beta=90.00 gamma=90.00
Last column: nearest neighbours and their distance in Å.
Fractional coordinates of all 5 atoms:
Cr  0.0000  0.0000  0.0000  6 W 2.22
B  0.5000  0.5000  0.5000  12 W 3.14
W  0.0000  0.5000  0.0000  2 Cr 2.22
W  0.0000  0.0000  0.5000  2 Cr 2.22
W  0.5000  0.0000  0.0000  2 Cr 2.22